Mg2ZnIn: relaxed, PBE-GGA.

abc: 3.2744 4.5785 5.8442
angles: 90.00 105.04 90.00
Positions (direct):
Mg: 0.0000 0.0000 0.0000
Mg: 0.3265 0.5000 0.6737
Zn: 0.5795 0.5000 0.1688
In: 0.7273 0.0000 0.4681

Properties
Calculated total energy, eV/atom: -1.853
Energy of formation from the pure elements, meV per atom: -52.5
Volume, Å³/cell: 85